# Ho2Er3In

An optimized crystal structure of Ho2Er3In (PBE, the Alexandria database). Values from VASP.

ΔE to the lowest computed polymorph = 453 meV/atom

The structure in Quantum ESPRESSO input format:
```
&SYSTEM
  ibrav = 0, nat = 6, ntyp = 3
/
ATOMIC_SPECIES
Er 167.26 Er.upf
Ho 164.93 Ho.upf
In 114.82 In.upf
ATOMIC_POSITIONS angstrom
Er 1.674 5.640 1.591
Er 0.000 -0.103 3.336
Er 0.000 0.232 0.000
Ho 1.674 2.780 3.231
Ho 0.000 8.524 1.696
In 1.674 2.948 0.000
CELL_PARAMETERS angstrom
3.348 0.000 0.000
0.000 11.488 0.000
-1.674 -5.744 4.927
```


# HoErIn2

An optimized crystal structure of HoErIn2 (PBE, the Alexandria database). Values from VASP.

Total energy = -4.1011 eV/atom

The structure in Quantum ESPRESSO input format:
```
&SYSTEM
  ibrav = 0, nat = 4, ntyp = 3
/
ATOMIC_SPECIES
In 114.82 In.upf
Ho 164.93 Ho.upf
Er 167.26 Er.upf
ATOMIC_POSITIONS angstrom
In -4.854 -3.414 2.596
In -5.104 -7.145 2.609
Ho -7.281 -5.121 3.894
Er -2.427 -1.707 1.298
CELL_PARAMETERS angstrom
-4.604 0.317 2.583
-3.841 -3.494 -1.003
-1.263 -3.651 3.612
```


Question: Number 2 is which compound?
Answer: HoErIn2